No. 1
Compound: RbBaUSe4
Source: the Alexandria database
Functional: GGA-PBE
Structure: optimized geometry

abc: 9.194 9.194 9.194
angles: 145.40 145.40 49.74
Atoms (fractional coordinates):
Rb (0.000, 0.000, 0.000)
Ba (0.719, 0.719, 0.000)
U (0.361, 0.361, 0.000)
Se (0.198, 0.198, 0.000)
Se (0.352, 0.852, 0.500)
Se (0.521, 0.521, 0.000)
Se (0.852, 0.352, 0.500)

Values from the calculation:
* VASP energy: -5.4384 eV per atom
* formation energy (no corrections): -1.42 eV per atom

No. 2
Compound: BaLi2Si2
Source: the Alexandria database
Functional: GGA-PBE
Structure: optimized geometry

abc: 6.061 6.061 6.061
angles: 134.27 134.27 66.67
Atoms (fractional coordinates):
Ba (0.000, 0.000, 0.000)
Li (0.250, 0.750, 0.500)
Li (0.750, 0.250, 0.500)
Si (0.387, 0.387, 0.000)
Si (0.613, 0.613, 0.000)

Values from the calculation:
* VASP energy: -3.6087 eV per atom
* formation energy (no corrections): -0.29 eV per atom

No. 3
Compound: Na2HoHg4
Source: the Alexandria database
Functional: GGA-PBE
Structure: optimized geometry

abc: 5.038 5.038 9.454
angles: 98.46 98.46 62.72
Atoms (fractional coordinates):
Na (0.156, 0.156, 0.397)
Na (0.844, 0.844, 0.603)
Ho (0.500, 0.500, 0.000)
Hg (0.173, 0.173, 0.080)
Hg (0.208, 0.208, 0.737)
Hg (0.792, 0.792, 0.263)
Hg (0.827, 0.827, 0.920)

Values from the calculation:
* energy of formation from the pure elements: -0.148 eV/atom
* VASP energy: -1.3512 eV per atom

No. 4
Compound: BaTaAs2
Source: the Alexandria database
Functional: GGA-PBE
Structure: optimized geometry

abc: 5.507 5.507 3.058
angles: 90.19 90.19 89.91
Atoms (fractional coordinates):
Ba (0.000, 0.000, 0.000)
Ta (0.500, 0.500, 0.000)
As (0.000, 0.500, 0.500)
As (0.500, 0.000, 0.500)

Values from the calculation:
* energy of formation from the pure elements: 0.168 eV/atom
* VASP energy: -5.6002 eV per atom